(1)
Computed, not measured: a relaxed structure of GaCuPt5 at the PBE-GGA level of DFT.

abc: 7.3852 7.3852 7.9542
angles: 47.68 47.68 73.53
Closest atoms and distances in Å follow each position.
Element x y z (fractional)
Ga  0.4516  0.5484  0.7500  7 Pt 2.43-2.66
Ga  0.5484  0.4516  0.2500  7 Pt 2.43-2.66
Cu  0.0000  0.0000  0.5000  6 Pt 2.53-2.64
Cu  0.0000  0.0000  0.0000  6 Pt 2.53-2.64
Pt  0.8231  0.1769  0.2500  1 Ga 2.43, 2 Cu 2.53, 2 Pt 2.69
Pt  0.1065  0.3258  0.4852  1 Ga 2.48, 2 Cu 2.58-2.64, 3 Pt 2.68-2.77
Pt  0.5299  0.2033  0.1291  2 Ga 2.65-2.66, 6 Pt 2.69-2.92, 1 Cu 2.84
Pt  0.6742  0.8935  0.0148  1 Ga 2.48, 2 Cu 2.58-2.64, 3 Pt 2.68-2.77
Pt  0.4701  0.7967  0.8709  2 Ga 2.65-2.66, 6 Pt 2.69-2.92, 1 Cu 2.84
Pt  0.3258  0.1065  0.9852  1 Ga 2.48, 2 Cu 2.58-2.64, 3 Pt 2.68-2.77
Pt  0.7967  0.4701  0.3709  2 Ga 2.65-2.66, 6 Pt 2.69-2.92, 1 Cu 2.84
Pt  0.2033  0.5299  0.6291  2 Ga 2.65-2.66, 6 Pt 2.69-2.92, 1 Cu 2.84
Pt  0.1769  0.8231  0.7500  1 Ga 2.43, 2 Cu 2.53, 2 Pt 2.69
Pt  0.8935  0.6742  0.5148  1 Ga 2.48, 2 Cu 2.58-2.64, 3 Pt 2.68-2.77

Properties
The total energy is -5.449 eV/atom. The calculation puts the volume at 225 Å³ per cell. The calculation puts the formation enthalpy at 0 K at -11.3 kJ per mole of atoms. The density of states at the Fermi level comes out at 11.598 states/eV per cell. Its spin magnetization is 0.0 μB per formula unit.

(2)
Computed, not measured: a relaxed structure of YHo5Sc2 at the PBE-GGA level of DFT.

abc: 8.7737 8.7737 8.7508
angles: 120.09 120.09 90.00
Closest atoms and distances in Å follow each position.
Element x y z (fractional)
Ho  0.1912  0.9924  0.6836  3 Sc 3.22-3.24, 3 Ho 3.35-3.48, 2 Y 3.53
Ho  0.5076  0.3088  0.3164  3 Sc 3.22-3.24, 3 Ho 3.35-3.48, 2 Y 3.53
Ho  0.9924  0.4924  0.6836  3 Sc 3.22-3.24, 3 Ho 3.35-3.48, 2 Y 3.53
Ho  0.0000  0.0000  0.0000  2 Y 3.09, 4 Sc 3.37
Ho  0.6912  0.1912  0.6836  3 Sc 3.22-3.24, 3 Ho 3.35-3.48, 2 Y 3.53
Ho  0.8088  0.0076  0.3164  3 Sc 3.22-3.24, 3 Ho 3.35-3.48, 2 Y 3.53
Ho  0.5000  0.5000  0.0000  2 Y 3.09, 4 Sc 3.37
Ho  0.4924  0.6912  0.6836  3 Sc 3.22-3.24, 3 Ho 3.35-3.48, 2 Y 3.53
Ho  0.0076  0.5076  0.3164  3 Sc 3.22-3.24, 3 Ho 3.35-3.48, 2 Y 3.53
Ho  0.3088  0.8088  0.3164  3 Sc 3.22-3.24, 3 Ho 3.35-3.48, 2 Y 3.53
Sc  0.1435  0.3565  0.0000  8 Ho 3.22-3.37, 1 Sc 3.56
Sc  0.8565  0.6435  0.0000  8 Ho 3.22-3.37, 1 Sc 3.56
Sc  0.6435  0.1435  0.0000  8 Ho 3.22-3.37, 1 Sc 3.56
Sc  0.3565  0.8565  0.0000  8 Ho 3.22-3.37, 1 Sc 3.56
Y  0.7500  0.7500  0.5000  2 Ho 3.09
Y  0.2500  0.2500  0.5000  2 Ho 3.09

Properties
The total energy is -5.145 eV/atom. The calculation puts the volume at 475 Å³ per cell. The calculation puts the formation enthalpy at 0 K at 10.3 kJ per mole of atoms. The density of states at the Fermi level comes out at 17.839 states/eV per cell. Its spin magnetization is 0.0 μB per formula unit.

(3)
Computed, not measured: a relaxed structure of Cs12Cd3I5 at the PBE-GGA level of DFT.

abc: 20.2354 20.2354 20.2354
angles: 109.47 109.47 109.47
Closest atoms and distances in Å follow each position.
Element x y z (fractional)
Cs  0.6318  0.0474  0.2184  2 I 3.72-3.89
Cs  0.5474  0.2184  0.1318  2 I 3.72-3.89
Cs  0.2816  0.8682  0.9526  2 I 3.72-3.89
Cs  0.1318  0.7184  0.5474  2 I 3.72-3.89
Cs  0.6709  0.4526  0.5844  2 I 3.72-3.89
Cs  0.4156  0.0474  0.3291  2 I 3.72-3.89
Cs  0.0865  0.9156  0.3682  2 I 3.72-3.89
Cs  0.5844  0.6318  0.4135  2 I 3.72-3.89
Cs  0.8291  0.9135  0.2816  2 I 3.72-3.89
Cs  0.4156  0.3682  0.5865  2 I 3.72-3.89
Cs  0.7184  0.1318  0.0474  2 I 3.72-3.89
Cs  0.4526  0.6709  0.0844  2 I 3.72-3.89
Cs  0.7184  0.5865  0.1709  2 I 3.72-3.89
Cs  0.9135  0.8291  0.7816  2 I 3.72-3.89
Cs  0.1709  0.0865  0.7184  2 I 3.72-3.89
Cs  0.1709  0.0844  0.9526  2 I 3.72-3.89
Cs  0.7816  0.4526  0.3682  2 I 3.72-3.89
Cs  0.3682  0.4156  0.0865  2 I 3.72-3.89
Cs  0.8682  0.5865  0.9156  2 I 3.72-3.89
Cs  0.1318  0.4135  0.0844  2 I 3.72-3.89
Cs  0.3291  0.5474  0.4156  2 I 3.72-3.89
Cs  0.8291  0.9156  0.0474  2 I 3.72-3.89
Cs  0.9526  0.5844  0.1709  2 I 3.72-3.89
Cs  0.9526  0.3682  0.2816  2 I 3.72-3.89
Cs  0.0865  0.1709  0.2184  2 I 3.72-3.89
Cs  0.0474  0.4156  0.8291  2 I 3.72-3.89
Cs  0.0474  0.6318  0.7184  2 I 3.72-3.89
Cs  0.9156  0.0865  0.8682  2 I 3.72-3.89
Cs  0.6709  0.2184  0.5865  2 I 3.72-3.89
Cs  0.2184  0.5474  0.6318  2 I 3.72-3.89
Cs  0.4135  0.1318  0.5844  2 I 3.72-3.89
Cs  0.5865  0.7184  0.6709  2 I 3.72-3.89
Cs  0.5865  0.8682  0.4156  2 I 3.72-3.89
Cs  0.4526  0.7816  0.8682  2 I 3.72-3.89
Cs  0.5844  0.9526  0.6709  2 I 3.72-3.89
Cs  0.9156  0.8291  0.5474  2 I 3.72-3.89
Cs  0.0844  0.9135  0.1318  2 I 3.72-3.89
Cs  0.6318  0.5844  0.9135  2 I 3.72-3.89
Cs  0.4135  0.2816  0.3291  2 I 3.72-3.89
Cs  0.3291  0.7816  0.4135  2 I 3.72-3.89
Cs  0.5474  0.3291  0.9156  2 I 3.72-3.89
Cs  0.8682  0.2816  0.4526  2 I 3.72-3.89
Cs  0.9135  0.0844  0.6318  2 I 3.72-3.89
Cs  0.0844  0.1709  0.4526  2 I 3.72-3.89
Cs  0.3682  0.9526  0.7816  2 I 3.72-3.89
Cs  0.7816  0.3291  0.9135  2 I 3.72-3.89
Cs  0.2816  0.4135  0.8291  2 I 3.72-3.89
Cs  0.2184  0.6709  0.0865  2 I 3.72-3.89
I  0.2500  0.8750  0.1250  4 Cs 3.72
I  0.3750  0.2500  0.1250  4 Cs 3.72
I  0.0000  0.0000  0.0000  6 Cs 3.89
I  0.8750  0.2500  0.6250  4 Cs 3.72
I  0.0000  0.5000  0.5000  6 Cs 3.89
I  0.7500  0.1250  0.8750  4 Cs 3.72
I  0.5000  0.0000  0.5000  6 Cs 3.89
I  0.8750  0.6250  0.7500  4 Cs 3.72
I  0.5000  0.5000  0.5000  6 Cs 3.89
I  0.1250  0.3750  0.2500  4 Cs 3.72
I  0.5000  0.0000  0.0000  6 Cs 3.89
I  0.3750  0.1250  0.7500  4 Cs 3.72
I  0.5000  0.5000  0.0000  6 Cs 3.89
I  0.7500  0.6250  0.3750  4 Cs 3.72
I  0.1250  0.7500  0.3750  4 Cs 3.72
I  0.0000  0.0000  0.5000  6 Cs 3.89
I  0.0000  0.5000  0.0000  6 Cs 3.89
I  0.2500  0.3750  0.6250  4 Cs 3.72
I  0.6250  0.8750  0.2500  4 Cs 3.72
I  0.6250  0.7500  0.8750  4 Cs 3.72
Cd  0.7500  0.3750  0.1250  8 Cs 4.34-4.38
Cd  0.6250  0.2500  0.3750  8 Cs 4.34-4.38
Cd  0.3750  0.6250  0.2500  8 Cs 4.34-4.38
Cd  0.1250  0.8750  0.7500  8 Cs 4.34-4.38
Cd  0.8750  0.7500  0.1250  8 Cs 4.34-4.38
Cd  0.3750  0.7500  0.6250  8 Cs 4.34-4.38
Cd  0.2500  0.1250  0.3750  8 Cs 4.34-4.38
Cd  0.8750  0.1250  0.2500  8 Cs 4.34-4.38
Cd  0.7500  0.8750  0.6250  8 Cs 4.34-4.38
Cd  0.1250  0.2500  0.8750  8 Cs 4.34-4.38
Cd  0.2500  0.6250  0.8750  8 Cs 4.34-4.38
Cd  0.6250  0.3750  0.7500  8 Cs 4.34-4.38

Properties
The total energy is -1.698 eV/atom. The calculation puts the volume at 6378 Å³ per cell. The density of states at the Fermi level comes out at 75.848 states/eV per cell. Its spin magnetization is 0.8 μB per formula unit. The value obtained for the raw formation energy is -0.661 eV/atom.